8
Lattice="-2.203 1.906 3.527 -3.985 -0.600 -2.165 2.237 -8.686 3.124" Properties=species:S:1:pos:R:3 comment="Mg5TlIn2 PBE optimized geometry" total_magnetization_mub_per_cell=0.00 formation_energy_ev_per_atom=-0.062 sg="I4/mmm, No. 139" crystal_system=tetragonal density_g_cm3=4.9 pbc="T T T"
Mg -3.094 0.653 0.681
Mg -1.744 -5.067 4.615
Mg -2.635 -6.320 1.769
Mg -2.207 -2.313 -0.129
Mg -1.317 -1.060 2.717
Tl 0.000 0.000 0.000
In -3.519 -3.327 2.566
In -0.433 -4.054 1.920